GeMoRh3 | GGA-PBE | relaxed

Output
Total moment = 3.01 Bohr magnetons per cell
Space group = Pm-3m (221)
Final energy = -33.4 eV per cell

a b c (Å): 4.4887 4.4887 4.4887
angles (deg): 90.00 90.00 90.00
Closest atoms and distances in Å follow each position.
Fractional coordinates of all 5 atoms:
1 Mo 0.5000 0.5000 0.5000  12 Rh 3.17
2 Rh 0.0000 0.5000 0.0000  2 Ge 2.24
3 Rh 0.0000 0.0000 0.5000  2 Ge 2.24
4 Rh 0.5000 0.0000 0.0000  2 Ge 2.24
5 Ge 0.0000 0.0000 0.0000  6 Rh 2.24